The following is a DFT calculation (PBE) of a relaxed structure of MgMn2Cl6.

Lattice parameters (Å, degrees): 6.3755 6.3755 17.5709 90.00 90.00 120.00
Space group R3 (No. 146, hexagonal axes)
Unique sites:
Mg (0.0000, 0.0000, 0.0000) [3 per cell]
Mn (0.0000, 0.0000, 0.4961) [3 per cell]
Mn (0.0000, 0.0000, 0.6818) [3 per cell]
Cl (0.0020, 0.3246, 0.0872) [9 per cell]
Cl (0.0137, 0.6471, 0.2575) [9 per cell]

Summary:
ΔE_f (raw): -1302.8 meV/atom
DOS(E_F): 0.00 states/eV per cell
Energy above the most stable polymorph in this dataset: 0.000 eV/atom
Electronic total energy: -4.749 eV/atom
M_tot: 0.01 Bohr magnetons per cell